# 1
VASP calculation (PBE) on a geometry-optimized K2ThPaN4 structure.

The structure in POSCAR format:
```
K2ThPaN4
1.0
3.744 0.000 0.000
0.000 6.198 0.191
0.000 -2.084 6.439
K Th Pa N
2 1 1 4
direct
0.500 0.000 0.500
0.000 0.500 0.500
0.500 0.500 0.000
0.000 0.000 0.000
0.500 0.218 0.169
0.500 0.782 0.831
0.000 0.251 0.832
0.000 0.749 0.168
```

Calculated values
- crystal system = monoclinic

# 2
VASP calculation (PBE) on a geometry-optimized KTh3Pa4N12 structure.

The structure in POSCAR format:
```
KTh3Pa4N12
1.0
-2.031 0.850 -7.151
7.269 -1.743 0.338
-4.029 -5.490 3.101
K Th Pa N
1 3 4 12
direct
0.000 0.000 0.000
0.000 0.500 0.500
0.500 0.500 0.000
0.500 0.000 0.500
0.500 0.000 0.000
0.500 0.500 0.500
0.000 0.500 0.000
0.000 0.000 0.500
0.313 0.794 0.107
0.687 0.206 0.893
0.687 0.794 0.482
0.893 0.687 0.206
0.794 0.107 0.313
0.206 0.518 0.313
0.518 0.313 0.206
0.206 0.893 0.687
0.313 0.206 0.518
0.107 0.313 0.794
0.794 0.482 0.687
0.482 0.687 0.794
```

Calculated values
- crystal system = cubic

# 3
VASP calculation (PBE) on a geometry-optimized K2PaTiN4 structure.

The structure in POSCAR format:
```
K2PaTiN4
1.0
3.451 0.000 0.000
0.000 6.627 -0.493
0.000 2.008 5.330
K Pa Ti N
2 1 1 4
direct
0.000 0.000 0.000
0.500 0.000 0.500
0.000 0.500 0.500
0.500 0.500 0.000
0.000 0.662 0.786
0.000 0.338 0.214
0.500 0.665 0.256
0.500 0.335 0.744
```

Calculated values
- crystal system = monoclinic

# 4
VASP calculation (PBE) on a geometry-optimized KPaTiN3 structure.

The structure in POSCAR format:
```
KPaTiN3
1.0
-0.737 -3.025 1.884
7.839 -1.607 0.488
-1.477 4.579 6.774
K Pa Ti N
2 2 2 6
direct
0.750 0.810 0.803
0.250 0.190 0.197
0.250 0.648 0.154
0.750 0.352 0.846
0.250 0.091 0.601
0.750 0.909 0.399
0.250 0.843 0.455
0.750 0.830 0.161
0.750 0.467 0.120
0.750 0.157 0.545
0.250 0.533 0.880
0.250 0.170 0.839
```

Calculated values
- crystal system = monoclinic

# 5
VASP calculation (PBE) on a geometry-optimized K3Pa2TiN6 structure.

The structure in POSCAR format:
```
K3Pa2TiN6
1.0
5.948 -0.004 0.003
-2.976 5.150 0.003
-0.988 -1.710 6.418
K Pa Ti N
3 2 1 6
direct
0.160 0.840 0.500
0.840 0.160 0.500
0.500 0.500 0.500
0.333 0.667 0.000
0.667 0.333 0.000
0.000 0.000 0.000
0.945 0.627 0.835
0.735 0.735 0.164
0.055 0.373 0.165
0.627 0.945 0.835
0.265 0.265 0.836
0.373 0.055 0.165
```

Calculated values
- crystal system = monoclinic

# 6
VASP calculation (PBE) on a geometry-optimized KPa4TlN8 structure.

The structure in POSCAR format:
```
KPa4TlN8
1.0
-6.136 -0.894 3.632
-0.158 -4.243 5.798
-0.733 2.956 6.597
K Pa Tl N
1 4 1 8
direct
0.009 0.009 0.974
0.533 0.533 0.401
0.001 0.515 0.483
0.515 0.001 0.483
0.001 0.001 0.483
0.362 0.362 0.914
0.296 0.772 0.636
0.772 0.296 0.636
0.296 0.296 0.636
0.239 0.239 0.283
0.738 0.214 0.310
0.214 0.738 0.310
0.738 0.738 0.310
0.787 0.787 0.640
```

Calculated values
- crystal system = trigonal

# 7
VASP calculation (PBE) on a geometry-optimized K3TmPa2N6 structure.

The structure in POSCAR format:
```
K3TmPa2N6
1.0
6.178 -0.007 0.002
-3.094 5.348 0.002
-1.026 -1.777 6.439
K Tm Pa N
3 1 2 6
direct
0.164 0.836 0.500
0.836 0.164 0.500
0.500 0.500 0.500
0.000 0.000 0.000
0.333 0.667 0.000
0.667 0.333 0.000
0.944 0.601 0.834
0.712 0.712 0.166
0.056 0.399 0.166
0.601 0.944 0.834
0.288 0.288 0.834
0.399 0.056 0.166
```

Calculated values
- crystal system = monoclinic

# 8
VASP calculation (PBE) on a geometry-optimized K4UPa3N8 structure.

The structure in POSCAR format:
```
K4UPa3N8
1.0
-0.300 7.135 -0.886
-3.894 -0.973 -6.519
-2.630 -2.995 5.991
K U Pa N
4 1 3 8
direct
0.500 0.000 0.000
0.500 0.000 0.500
0.000 0.000 0.000
0.000 0.000 0.500
0.000 0.500 0.000
0.500 0.500 0.000
0.500 0.500 0.500
0.000 0.500 0.500
0.217 0.659 0.941
0.217 0.659 0.435
0.281 0.342 0.561
0.724 0.659 0.941
0.276 0.341 0.059
0.719 0.658 0.439
0.783 0.341 0.565
0.783 0.341 0.059
```

Calculated values
- crystal system = trigonal

# 9
VASP calculation (PBE) on a geometry-optimized K2UPaN4 structure.

The structure in POSCAR format:
```
K2UPaN4
1.0
3.587 0.000 0.000
0.000 6.200 0.097
0.000 -2.178 6.389
K U Pa N
2 1 1 4
direct
0.500 0.000 0.500
0.000 0.500 0.500
0.500 0.500 0.000
0.000 0.000 0.000
0.500 0.224 0.158
0.500 0.776 0.842
0.000 0.283 0.841
0.000 0.717 0.159
```

Calculated values
- crystal system = monoclinic

# 10
VASP calculation (PBE) on a geometry-optimized K2Pa2VN6 structure.

The structure in POSCAR format:
```
K2Pa2VN6
1.0
5.802 -0.008 0.127
-2.874 5.040 0.127
-0.963 -1.655 6.466
K Pa V N
2 2 1 6
direct
0.843 0.157 0.000
0.157 0.843 0.000
0.335 0.665 0.500
0.665 0.335 0.500
0.000 0.000 0.500
0.746 0.746 0.657
0.041 0.354 0.656
0.254 0.254 0.343
0.354 0.041 0.656
0.959 0.646 0.344
0.646 0.959 0.344
```

Calculated values
- crystal system = monoclinic

# 11
VASP calculation (PBE) on a geometry-optimized KPaVN4 structure.

The structure in POSCAR format:
```
KPaVN4
1.0
-1.983 5.094 -2.356
0.056 -2.363 -5.156
-6.159 -4.306 1.907
K Pa V N
2 2 2 8
direct
0.682 0.750 0.924
0.318 0.250 0.076
0.784 0.750 0.448
0.216 0.250 0.552
0.245 0.750 0.333
0.755 0.250 0.667
0.960 0.490 0.669
0.040 0.990 0.331
0.040 0.510 0.331
0.960 0.010 0.669
0.466 0.750 0.213
0.534 0.250 0.787
0.451 0.750 0.551
0.549 0.250 0.449
```

Calculated values
- crystal system = monoclinic

# 12
VASP calculation (PBE) on a geometry-optimized K4Pa3VN8 structure.

The structure in POSCAR format:
```
K4Pa3VN8
1.0
-3.463 1.822 -5.708
-6.295 -3.059 2.843
3.176 4.827 3.809
K Pa V N
4 3 1 8
direct
0.500 0.000 0.000
0.500 0.000 0.500
0.000 0.000 0.000
0.000 0.000 0.500
0.500 0.500 0.000
0.500 0.500 0.500
0.000 0.500 0.500
0.000 0.500 0.000
0.210 0.662 0.951
0.210 0.662 0.420
0.277 0.331 0.554
0.741 0.662 0.951
0.259 0.338 0.049
0.723 0.669 0.446
0.790 0.338 0.580
0.790 0.338 0.049
```

Calculated values
- crystal system = trigonal

Table of mass density (g/cm³), in record order: 6.57; 9.41; 5.47; 5.07; 6.01; 7.97; 6.50; 6.91; 7.01; 5.86; 5.03; 6.32
Table of calculated volume (Å³/atom), in record order: 18.86; 16.13; 15.66; 19.64; 16.38; 19.06; 17.72; 18.02; 17.86; 17.40; 17.79; 16.62
Table of energy relative to the elements, uncorrected (eV/atom), in record order: -0.9681; -1.2881; -0.8365; -1.1581; -0.9470; -1.0283; -0.9238; -1.1594; -1.1006; -0.8263; -0.7808; -0.9247